A geometry-optimized AcSmTeBr structure, computed with GGA-PBE.

Values from the calculation:
Its crystal system is cubic. The total energy comes out at -4.59 eV per atom.

abc: 7.785 7.785 7.785
angles: 90.00 90.00 90.00
Space group F-43m (No. 216)
One atom of each set of equivalent atoms:
Ac (0.000, 0.000, 0.000) x4
Sm (0.000, 0.000, 0.500) x4
Te (0.250, 0.250, 0.750) x4
Br (0.250, 0.250, 0.250) x4